# 1
The following is a PBE calculation of crystalline Li5Al2Zn12 at its relaxed geometry, from the Alexandria database.

The total magnetic moment comes out at 0.000 μB/atom. The energy of formation comes out at -0.096 eV/atom. Its density of states at the Fermi level is 9.90 states/eV per cell.

The structure belongs to space group C2/m (No. 12); the cell edges are 13.4632, 6.8364 and 6.4367 Å and the angles 90.00°, 91.20° and 90.00°. The distinct sites, in fractional coordinates, are Li at (0.0000, 0.0000, 0.0000), Li at (0.1877, 0.5000, 0.5140), Li at (0.2439, 0.0000, 0.9257), Al at (0.0000, 0.2905, 0.5000), Zn at (0.0561, 0.5000, 0.1738), Zn at (0.1201, 0.0000, 0.5951), Zn at (0.1251, 0.2995, 0.8469) and Zn at (0.1670, 0.1882, 0.2468).

***

# 2
The following is a PBE calculation of crystalline MgZrGa at its relaxed geometry, from the Alexandria database.

The total magnetic moment comes out at 0.000 μB/atom. The energy of formation comes out at -0.317 eV/atom. Its density of states at the Fermi level is 7.89 states/eV per cell.

The structure belongs to space group C2/m (No. 12); the cell edges are 10.1790, 4.1511 and 6.9465 Å and the angles 90.00°, 124.89° and 90.00°. The distinct sites, in fractional coordinates, are Mg at (0.1683, 0.0000, 0.0839), Zr at (0.0733, 0.5000, 0.3397) and Ga at (0.1460, 0.0000, 0.6657).

***

# 3
The following is a PBE calculation of crystalline Re2Hg2O7 at its relaxed geometry, from the Alexandria database.

The total magnetic moment comes out at 0.000 μB/atom. The raw formation energy is -1178 meV/atom.

The structure belongs to space group C2/m (No. 12); the cell edges are 9.1112, 12.9849 and 4.9069 Å and the angles 90.00°, 92.42° and 90.00°. The distinct sites, in fractional coordinates, are Re at (0.1934, 0.0000, 0.3786), Hg at (0.0000, 0.2582, 0.0000), O at (0.0000, 0.0000, 0.5000), O at (0.1892, 0.0000, 0.0258) and O at (0.2100, 0.3925, 0.5129).

***

# 4
The following is a PBE calculation of crystalline BaLa2MgRh at its relaxed geometry, from the Alexandria database.

The total magnetic moment comes out at 0.000 μB/atom. The energy of formation comes out at -0.293 eV/atom. Its density of states at the Fermi level is 4.16 states/eV per cell. As for the energy relative to the lowest polymorph listed for this composition: 0.0 meV/atom.

The structure belongs to space group P4/mmm (No. 123); the cell edges are 5.5975, 5.5975 and 5.5453 Å and the angles 90.00°, 90.00° and 90.00°. The distinct sites, in fractional coordinates, are Ba at (0.0000, 0.0000, 0.0000), La at (0.0000, 0.5000, 0.5000), Mg at (0.5000, 0.5000, 0.0000) and Rh at (0.5000, 0.5000, 0.5000).

***

# 5
The following is a PBE calculation of crystalline K3La3CrSe8 at its relaxed geometry, from the Alexandria database.

The total magnetic moment comes out at 0.132 μB/atom. Its density of states at the Fermi level is 40.79 states/eV per cell. The raw formation energy is -1448 meV/atom.

The structure belongs to space group R-3m (No. 166, hexagonal axes); the cell edges are 8.5340, 8.5340 and 23.5550 Å and the angles 90.00°, 90.00° and 120.00°. The distinct sites, in fractional coordinates, are K at (0.0000, 0.5000, 0.0000), La at (0.0000, 0.5000, 0.5000), Cr at (0.0000, 0.0000, 0.5000), Se at (0.0000, 0.0000, 0.2387) and Se at (0.0418, 0.5209, 0.2300).

***

# 6
The following is a PBE calculation of crystalline LiAsCl2 at its relaxed geometry, from the Alexandria database.

The total magnetic moment comes out at 0.000 μB/atom. Its density of states at the Fermi level is 3.67 states/eV per cell. As for the energy relative to the lowest polymorph listed for this composition: 276.6 meV/atom. The raw formation energy is -603 meV/atom.

The structure belongs to space group C2/m (No. 12); the cell edges are 7.4028, 7.4246 and 3.4005 Å and the angles 90.00°, 91.17° and 90.00°. The distinct sites, in fractional coordinates, are Li at (0.0000, 0.0000, 0.0000), As at (0.0000, 0.5000, 0.0000) and Cl at (0.2500, 0.2500, 0.0000).

***

# 7
The following is a PBE calculation of crystalline V6Mo5 at its relaxed geometry, from the Alexandria database.

The total magnetic moment comes out at 0.000 μB/atom. The energy of formation comes out at 0.160 eV/atom. Its density of states at the Fermi level is 24.23 states/eV per cell.

The structure belongs to space group Immm (No. 71); the cell edges are 4.3132, 6.0735 and 12.9043 Å and the angles 90.00°, 90.00° and 90.00°. The distinct sites, in fractional coordinates, are V at (0.0000, 0.2480, 0.0000), V at (0.0000, 0.2520, 0.3353), Mo at (0.0000, 0.0000, 0.1640), Mo at (0.0000, 0.0000, 0.5000) and Mo at (0.0000, 0.5000, 0.1668).

***

# 8
The following is a PBE calculation of crystalline LaMnCo3 at its relaxed geometry, from the Alexandria database.

The total magnetic moment comes out at 0.000 μB/atom. The energy of formation comes out at 0.443 eV/atom. Its density of states at the Fermi level is 6.15 states/eV per cell.

The structure belongs to space group Pm-3m (No. 221); the cell edges are 4.3284, 4.3284 and 4.3284 Å and the angles 90.00°, 90.00° and 90.00°. The distinct sites, in fractional coordinates, are La at (0.0000, 0.0000, 0.0000), Mn at (0.5000, 0.5000, 0.5000) and Co at (0.0000, 0.5000, 0.5000).